## w
Density functional theory data (PBE-GGA) for an optimized crystal structure of MgFeGeW.

The structure belongs to space group F-43m (No. 216); the cell edges are 6.1347, 6.1347 and 6.1347 Å and the angles 90.00°, 90.00° and 90.00°. The asymmetric unit holds Mg at (0.0000, 0.0000, 0.0000), Fe at (0.0000, 0.0000, 0.5000), Ge at (0.2500, 0.2500, 0.2500) and W at (0.2500, 0.2500, 0.7500).

## x
Density functional theory data (PBE-GGA) for an optimized crystal structure of MgFeGeW.

The structure belongs to space group F-43m (No. 216); the cell edges are 6.1723, 6.1723 and 6.1723 Å and the angles 90.00°, 90.00° and 90.00°. The asymmetric unit holds Mg at (0.0000, 0.0000, 0.0000), Fe at (0.2500, 0.2500, 0.7500), Ge at (0.0000, 0.0000, 0.5000) and W at (0.2500, 0.2500, 0.2500).

Best to worst by energy: w, x.

## w
Density functional theory data (PBE-GGA) for an optimized crystal structure of FeGeMoPt.

The structure belongs to space group F-43m (No. 216); the cell edges are 6.1783, 6.1783 and 6.1783 Å and the angles 90.00°, 90.00° and 90.00°. The asymmetric unit holds Fe at (0.0000, 0.0000, 0.0000), Ge at (0.2500, 0.2500, 0.7500), Mo at (0.2500, 0.2500, 0.2500) and Pt at (0.0000, 0.0000, 0.5000).

## x
Density functional theory data (PBE-GGA) for an optimized crystal structure of FeGeMoPt.

The structure belongs to space group F-43m (No. 216); the cell edges are 6.1548, 6.1548 and 6.1548 Å and the angles 90.00°, 90.00° and 90.00°. The asymmetric unit holds Fe at (0.0000, 0.0000, 0.0000), Ge at (0.2500, 0.2500, 0.7500), Mo at (0.0000, 0.0000, 0.5000) and Pt at (0.2500, 0.2500, 0.2500).

Best to worst by energy: x, w.

## w
Density functional theory data (PBE-GGA) for an optimized crystal structure of YFeGeMo.

The structure belongs to space group F-43m (No. 216); the cell edges are 6.5312, 6.5312 and 6.5312 Å and the angles 90.00°, 90.00° and 90.00°. The asymmetric unit holds Y at (0.0000, 0.0000, 0.0000), Fe at (0.0000, 0.0000, 0.5000), Ge at (0.2500, 0.2500, 0.2500) and Mo at (0.2500, 0.2500, 0.7500).

## x
Density functional theory data (PBE-GGA) for an optimized crystal structure of YFeGeMo.

The structure belongs to space group F-43m (No. 216); the cell edges are 6.4353, 6.4353 and 6.4353 Å and the angles 90.00°, 90.00° and 90.00°. The asymmetric unit holds Y at (0.0000, 0.0000, 0.0000), Fe at (0.2500, 0.2500, 0.7500), Ge at (0.0000, 0.0000, 0.5000) and Mo at (0.2500, 0.2500, 0.2500).

Best to worst by energy: x, w.